Entry from Alexandria: crystalline TmMnZn2 at its relaxed geometry (PBE).

Total DFT energy (no corrections) in eV per atom: -4.138
M_tot in μB per cell: 3.3
Energy of formation in eV per atom: -0.09
DOS(E_F) in states/eV per cell: 3.53

a = 3.282 Å, b = 3.282 Å, c = 6.614 Å
α = 90.00°, β = 90.00°, γ = 90.00°
Fractional coordinates of all 4 atoms:
Tm: 0.000 0.000 0.000
Mn: 0.000 0.000 0.500
Zn: 0.500 0.500 0.295
Zn: 0.500 0.500 0.705